The following is a DFT calculation (PBE+U) of an optimized crystal structure of Li3Mg2MoO6.

Cell: 5.2572 5.2572 5.1737 Å, 99.22 99.22 120.76°
Site moments in Bohr magnetons follow the coordinates.
Atoms (fractional coordinates):
1 Li 0.1779 0.8221 0.5000  0.00
2 Li 0.8221 0.1779 0.5000  0.00
3 Li 0.5000 0.5000 0.5000  0.00
4 Mg 0.3299 0.6701 0.0000  0.00
5 Mg 0.6701 0.3299 0.0000  0.00
6 Mo 0.0000 0.0000 0.0000  0.94
7 O 0.9240 0.6006 0.7665  0.02
8 O 0.7586 0.7586 0.2207  -0.02
9 O 0.0760 0.3994 0.2335  0.02
10 O 0.6006 0.9240 0.7665  0.02
11 O 0.2414 0.2414 0.7793  -0.02
12 O 0.3994 0.0760 0.2335  0.02

Computed properties:
The value obtained for the total DFT energy (no corrections) is -72.0 eV/cell.